No. 1
Material: OsRu2Rh
Method: DFT, meta-GGA SCAN
State: single point on PBEsol structure

The structure belongs to space group C2/m (No. 12); the cell edges are 8.868, 2.668 and 4.638 Å and the angles 90.00°, 99.90° and 90.00°. Symmetry generates all atoms from Os at (0.000, 0.000, 0.000), Ru at (0.248, 0.500, 0.246) and Rh at (0.000, 0.500, 0.500).

The total energy comes out at -43.735 eV per atom.

***

No. 2
Material: OsRu2Rh
Method: DFT, meta-GGA SCAN
State: single point on PBEsol structure

The structure belongs to space group Cmmm (No. 65); the cell edges are 5.350, 7.569 and 2.668 Å and the angles 90.00°, 90.00° and 90.00°. Symmetry generates all atoms from Os at (0.000, 0.000, 0.000), Ru at (0.250, 0.250, 0.500) and Rh at (0.000, 0.500, 0.000).

The total energy comes out at -43.739 eV per atom.

***

No. 3
Material: OsRu2Rh
Method: DFT, meta-GGA SCAN
State: single point on PBEsol structure

The structure belongs to space group P4/mmm (No. 123); the cell edges are 2.667, 2.667 and 7.595 Å and the angles 90.00°, 90.00° and 90.00°. Symmetry generates all atoms from Os at (0.000, 0.000, 0.000), Ru at (0.500, 0.500, 0.249) and Rh at (0.000, 0.000, 0.500).

The total energy comes out at -43.748 eV per atom.

***

No. 4
Material: OsRu2Rh
Method: DFT, meta-GGA SCAN
State: single point on PBEsol structure

The structure belongs to space group Pmm2 (No. 25); the cell edges are 2.666, 3.794 and 5.341 Å and the angles 90.00°, 90.00° and 90.00°. Symmetry generates all atoms from Os at (0.000, 0.000, 0.000), Ru at (0.000, 0.000, 0.507), Ru at (0.500, 0.500, 0.754) and Rh at (0.500, 0.500, 0.255).

The total energy comes out at -43.734 eV per atom.

***

No. 5
Material: OsRu2Rh
Method: DFT, meta-GGA SCAN
State: single point on PBEsol structure

The structure belongs to space group R3m (No. 160, hexagonal axes); the cell edges are 2.6750, 2.6750 and 26.1932 Å and the angles 90.00°, 90.00° and 120.00°. Symmetry generates all atoms from Os at (0.0000, 0.0000, 0.0000), Ru at (0.0000, 0.0000, 0.2506), Ru at (0.0000, 0.0000, 0.5019) and Rh at (0.0000, 0.0000, 0.7511).

The total energy comes out at -43.731 eV per atom.

***

No. 6
Material: OsRh3S
Method: DFT, meta-GGA SCAN
State: single point on PBEsol structure

The structure belongs to space group Pm-3m (No. 221); the cell edges are 4.257, 4.257 and 4.257 Å and the angles 90.00°, 90.00° and 90.00°. Symmetry generates all atoms from Os at (0.000, 0.000, 0.000), Rh at (0.000, 0.500, 0.500) and S at (0.500, 0.500, 0.500).

The formation energy (no corrections) is 0.87 eV/atom.

***

No. 7
Material: OsRh3S
Method: DFT, meta-GGA SCAN
State: single point on PBEsol structure

The structure belongs to space group Pm-3m (No. 221); the cell edges are 4.623, 4.623 and 4.623 Å and the angles 90.00°, 90.00° and 90.00°. Symmetry generates all atoms from Os at (0.000, 0.000, 0.000), Rh at (0.000, 0.000, 0.500) and S at (0.500, 0.500, 0.500).

The formation energy (no corrections) is 1.58 eV/atom.

***

No. 8
Material: SbOs2Rh
Method: DFT, meta-GGA SCAN
State: single point on PBEsol structure

The structure belongs to space group C2/m (No. 12); the cell edges are 8.994, 2.855 and 4.900 Å and the angles 90.00°, 103.07° and 90.00°. Symmetry generates all atoms from Sb at (0.000, 0.000, 0.000), Os at (0.247, 0.500, 0.273) and Rh at (0.000, 0.500, 0.500).

The formation energy (no corrections) is 0.41 eV/atom.

***

No. 9
Material: SbOs2Rh
Method: DFT, meta-GGA SCAN
State: single point on PBEsol structure

The structure belongs to space group I4/mmm (No. 139); the cell edges are 3.993, 3.993 and 7.565 Å and the angles 90.00°, 90.00° and 90.00°. Symmetry generates all atoms from Sb at (0.000, 0.000, 0.000), Os at (0.000, 0.500, 0.250) and Rh at (0.000, 0.000, 0.500).

The formation energy (no corrections) is 0.43 eV/atom.

***

No. 10
Material: Sb2OsRh
Method: DFT, meta-GGA SCAN
State: single point on PBEsol structure

The structure belongs to space group R3m (No. 160, hexagonal axes); the cell edges are 3.0540, 3.0540 and 29.5833 Å and the angles 90.00°, 90.00° and 120.00°. Symmetry generates all atoms from Sb at (0.0000, 0.0000, 0.0000), Sb at (0.0000, 0.0000, 0.2082), Os at (0.0000, 0.0000, 0.4726) and Rh at (0.0000, 0.0000, 0.7352).

The formation energy (no corrections) is 0.41 eV/atom.

***

No. 11
Material: SbOsRh2
Method: DFT, meta-GGA SCAN
State: single point on PBEsol structure

The structure belongs to space group P2/m (No. 10); the cell edges are 2.861, 3.841 and 5.545 Å and the angles 90.00°, 90.07° and 90.00°. Symmetry generates all atoms from Sb at (0.000, 0.000, 0.000), Os at (0.000, 0.000, 0.500) and Rh at (0.499, 0.500, 0.267).

The formation energy (no corrections) is 0.19 eV/atom.

***

No. 12
Material: Sb2OsRh
Method: DFT, meta-GGA SCAN
State: single point on PBEsol structure

The structure belongs to space group Amm2 (No. 38); the cell edges are 4.198, 3.222 and 10.419 Å and the angles 90.00°, 90.00° and 90.00°. Symmetry generates all atoms from Sb at (0.000, 0.000, 0.000), Sb at (0.500, 0.000, 0.296), Os at (0.000, 0.000, 0.733) and Rh at (0.500, 0.000, 0.553).

The formation energy (no corrections) is 0.09 eV/atom.

***

No. 13
Material: Sb2OsRh
Method: DFT, meta-GGA SCAN
State: single point on PBEsol structure

The structure belongs to space group Cmmm (No. 65); the cell edges are 6.312, 6.671 and 3.276 Å and the angles 90.00°, 90.00° and 90.00°. Symmetry generates all atoms from Sb at (0.250, 0.250, 0.000), Os at (0.000, 0.000, 0.500) and Rh at (0.000, 0.500, 0.500).

The formation energy (no corrections) is 0.36 eV/atom.

***

No. 14
Material: SbOs2Rh
Method: DFT, meta-GGA SCAN
State: single point on PBEsol structure

The structure belongs to space group Pmm2 (No. 25); the cell edges are 2.866, 3.815 and 5.649 Å and the angles 90.00°, 90.00° and 90.00°. Symmetry generates all atoms from Sb at (0.000, 0.000, 0.000), Os at (0.000, 0.000, 0.494), Os at (0.500, 0.500, 0.299) and Rh at (0.500, 0.500, 0.768).

The formation energy (no corrections) is 0.35 eV/atom.

***

No. 15
Material: SbOs2Rh
Method: DFT, meta-GGA SCAN
State: single point on PBEsol structure

The structure belongs to space group C2/m (No. 12); the cell edges are 5.300, 9.923 and 2.838 Å and the angles 90.00°, 122.29° and 90.00°. Symmetry generates all atoms from Sb at (0.000, 0.000, 0.000), Os at (0.250, 0.250, 0.500) and Rh at (0.000, 0.500, 0.000).

The formation energy (no corrections) is 0.61 eV/atom.

***

No. 16
Material: SbOsRh2
Method: DFT, meta-GGA SCAN
State: single point on PBEsol structure

The structure belongs to space group R3m (No. 160, hexagonal axes); the cell edges are 2.9155, 2.9155 and 25.2922 Å and the angles 90.00°, 90.00° and 120.00°. Symmetry generates all atoms from Sb at (0.0000, 0.0000, 0.0000), Os at (0.0000, 0.0000, 0.7529), Rh at (0.0000, 0.0000, 0.2521) and Rh at (0.0000, 0.0000, 0.4996).

The formation energy (no corrections) is 0.43 eV/atom.

***

No. 17
Material: SbOsRh2
Method: DFT, meta-GGA SCAN
State: single point on PBEsol structure

The structure belongs to space group Pmm2 (No. 25); the cell edges are 2.827, 4.426 and 4.829 Å and the angles 90.00°, 90.00° and 90.00°. Symmetry generates all atoms from Sb at (0.000, 0.000, 0.000), Os at (0.000, 0.500, 0.647), Rh at (0.500, 0.000, 0.505) and Rh at (0.500, 0.500, 0.176).

The formation energy (no corrections) is 0.16 eV/atom.

***

No. 18
Material: Sb2OsRh
Method: DFT, meta-GGA SCAN
State: single point on PBEsol structure

The structure belongs to space group C2/m (No. 12); the cell edges are 8.285, 3.191 and 5.476 Å and the angles 90.00°, 102.64° and 90.00°. Symmetry generates all atoms from Sb at (0.248, 0.000, 0.247), Os at (0.000, 0.500, 0.000) and Rh at (0.000, 0.000, 0.500).

The formation energy (no corrections) is 0.23 eV/atom.

***

No. 19
Material: Sb2TeOsRh
Method: DFT, meta-GGA SCAN
State: single point on PBEsol structure

The structure belongs to space group P4/mmm (No. 123); the cell edges are 4.897, 4.897 and 5.017 Å and the angles 90.00°, 90.00° and 90.00°. Symmetry generates all atoms from Sb at (0.000, 0.500, 0.000), Te at (0.000, 0.000, 0.500), Os at (0.500, 0.500, 0.500) and Rh at (0.000, 0.000, 0.000).

The formation energy (no corrections) is 1.29 eV/atom.

***

No. 20
Material: Sc2OsRh
Method: DFT, meta-GGA SCAN
State: single point on PBEsol structure

The structure belongs to space group P4/mmm (No. 123); the cell edges are 3.176, 3.176 and 6.375 Å and the angles 90.00°, 90.00° and 90.00°. Symmetry generates all atoms from Sc at (0.000, 0.000, 0.246), Os at (0.500, 0.500, 0.000) and Rh at (0.500, 0.500, 0.500).

The total energy comes out at -34.391 eV per atom.

***

No. 21
Material: ScOsRh2
Method: DFT, meta-GGA SCAN
State: single point on PBEsol structure

The structure belongs to space group Cm (No. 8); the cell edges are 9.081, 2.779 and 4.759 Å and the angles 90.00°, 100.64° and 90.00°. Symmetry generates all atoms from Sc at (0.000, 0.000, 0.000), Os at (0.243, 0.000, 0.690), Rh at (0.001, 0.500, 0.510) and Rh at (0.253, 0.500, 0.224).

The total energy comes out at -38.789 eV per atom.

***

No. 22
Material: ScOsRh2
Method: DFT, meta-GGA SCAN
State: single point on PBEsol structure

The structure belongs to space group Fm-3m (No. 225); the cell edges are 6.228, 6.228 and 6.228 Å and the angles 90.00°, 90.00° and 90.00°. Symmetry generates all atoms from Sc at (0.000, 0.000, 0.000), Os at (0.000, 0.000, 0.500) and Rh at (0.250, 0.250, 0.250).

The total energy comes out at -38.553 eV per atom.

***

No. 23
Material: ScOs2Rh
Method: DFT, meta-GGA SCAN
State: single point on PBEsol structure

The structure belongs to space group P4/mmm (No. 123); the cell edges are 3.781, 3.781 and 4.140 Å and the angles 90.00°, 90.00° and 90.00°. Symmetry generates all atoms from Sc at (0.000, 0.000, 0.000), Os at (0.000, 0.500, 0.500) and Rh at (0.500, 0.500, 0.000).

The total energy comes out at -48.143 eV per atom.

***

No. 24
Material: ScOs2Rh
Method: DFT, meta-GGA SCAN
State: single point on PBEsol structure

The structure belongs to space group F-43m (No. 216); the cell edges are 6.208, 6.208 and 6.208 Å and the angles 90.00°, 90.00° and 90.00°. Symmetry generates all atoms from Sc at (0.000, 0.000, 0.000), Os at (0.000, 0.000, 0.500), Os at (0.250, 0.250, 0.750) and Rh at (0.250, 0.250, 0.250).

The total energy comes out at -47.931 eV per atom.

***

No. 25
Material: ScOsRh2
Method: DFT, meta-GGA SCAN
State: single point on PBEsol structure

The structure belongs to space group R-3m (No. 166, hexagonal axes); the cell edges are 2.7762, 2.7762 and 26.5214 Å and the angles 90.00°, 90.00° and 120.00°. Symmetry generates all atoms from Sc at (0.0000, 0.0000, 0.0000), Os at (0.0000, 0.0000, 0.5000) and Rh at (0.0000, 0.0000, 0.2480).

The total energy comes out at -38.437 eV per atom.

***

No. 26
Material: ScOsRh2
Method: DFT, meta-GGA SCAN
State: single point on PBEsol structure

The structure belongs to space group C2/m (No. 12); the cell edges are 9.067, 2.778 and 4.756 Å and the angles 90.00°, 100.04° and 90.00°. Symmetry generates all atoms from Sc at (0.000, 0.000, 0.000), Os at (0.000, 0.500, 0.500) and Rh at (0.245, 0.000, 0.733).

The total energy comes out at -38.689 eV per atom.

***

No. 27
Material: Sc2OsRh
Method: DFT, meta-GGA SCAN
State: single point on PBEsol structure

The structure belongs to space group Fm-3m (No. 225); the cell edges are 6.352, 6.352 and 6.352 Å and the angles 90.00°, 90.00° and 90.00°. Symmetry generates all atoms from Sc at (0.250, 0.250, 0.250), Os at (0.000, 0.000, 0.000) and Rh at (0.000, 0.000, 0.500).

The total energy comes out at -34.383 eV per atom.

***

No. 28
Material: ScTiOs2Rh
Method: DFT, meta-GGA SCAN
State: single point on PBEsol structure

The structure belongs to space group P4/mmm (No. 123); the cell edges are 4.520, 4.520 and 4.421 Å and the angles 90.00°, 90.00° and 90.00°. Symmetry generates all atoms from Sc at (0.000, 0.000, 0.000), Ti at (0.500, 0.500, 0.500), Os at (0.000, 0.500, 0.500) and Rh at (0.500, 0.500, 0.000).

The total energy comes out at -40.912 eV per atom.

***

No. 29
Material: OsRhSe2
Method: DFT, meta-GGA SCAN
State: single point on PBEsol structure

The structure belongs to space group Imm2 (No. 44); the cell edges are 2.972, 4.422 and 9.458 Å and the angles 90.00°, 90.00° and 90.00°. Symmetry generates all atoms from Os at (0.000, 0.000, 0.000), Rh at (0.000, 0.500, 0.770), Se at (0.000, 0.000, 0.503) and Se at (0.000, 0.500, 0.286).

The formation energy (no corrections) is 0.53 eV/atom.

***

No. 30
Material: OsRhSe
Method: DFT, meta-GGA SCAN
State: single point on PBEsol structure

The structure belongs to space group F-43m (No. 216); the cell edges are 5.871, 5.871 and 5.871 Å and the angles 90.00°, 90.00° and 90.00°. Symmetry generates all atoms from Os at (0.000, 0.000, 0.000), Rh at (0.250, 0.250, 0.750) and Se at (0.250, 0.250, 0.250).

The formation energy (no corrections) is 0.36 eV/atom.

***

No. 31
Material: OsRh2Se
Method: DFT, meta-GGA SCAN
State: single point on PBEsol structure

The structure belongs to space group R-3m (No. 166, hexagonal axes); the cell edges are 2.7907, 2.7907 and 25.3174 Å and the angles 90.00°, 90.00° and 120.00°. Symmetry generates all atoms from Os at (0.0000, 0.0000, 0.0000), Rh at (0.0000, 0.0000, 0.2489) and Se at (0.0000, 0.0000, 0.5000).

The formation energy (no corrections) is 0.23 eV/atom.